# 1
# K3Cu2I2Br4 (PBE, relaxed)
# DFT total energy = -32.2 eV per formula unit
# formation energy from raw total energies = -0.99 eV/atom
data_K3Cu2I2Br4
_symmetry_space_group_name_H-M 'I 4/m m m'
_symmetry_Int_Tables_number 139
_symmetry_space_group_name_Hall '-I 4 2'
_cell_length_a 5.048
_cell_length_b 5.048
_cell_length_c 28.318
_cell_angle_alpha 90.00
_cell_angle_beta 90.00
_cell_angle_gamma 90.00
loop_
_atom_site_label
_atom_site_type_symbol
_atom_site_fract_x
_atom_site_fract_y
_atom_site_fract_z
K1 K 0.000 0.000 0.000
K2 K 0.000 0.000 0.171
Cu1 Cu 0.000 0.000 0.399
I1 I 0.000 0.000 0.304
Br1 Br 0.000 0.500 0.080


# 2
# La4CuI2Br (PBE, relaxed)
# DFT total energy = -35.6 eV per formula unit
# formation energy from raw total energies = -0.87 eV/atom
data_La4CuI2Br
_symmetry_space_group_name_H-M 'P 1 2/m 1'
_symmetry_Int_Tables_number 10
_cell_length_a 7.409
_cell_length_b 4.260
_cell_length_c 8.450
_cell_angle_alpha 90.00
_cell_angle_beta 107.52
_cell_angle_gamma 90.00
loop_
_symmetry_equiv_pos_as_xyz
'x,y,z'
'-x,-y,-z'
'-x,y,-z'
'x,-y,z'
loop_
_atom_site_label
_atom_site_type_symbol
_atom_site_fract_x
_atom_site_fract_y
_atom_site_fract_z
La1 La 0.225 0.000 0.205
La2 La 0.259 0.500 0.785
Cu1 Cu 0.000 0.500 0.000
I1 I 0.000 0.000 0.500
I2 I 0.500 0.500 0.500
Br1 Br 0.500 0.000 0.000


# 3
# LiCuIBr (PBE, relaxed)
# DFT total energy = -12.5 eV per formula unit
# formation energy from raw total energies = -0.81 eV/atom
data_LiCuIBr
_symmetry_space_group_name_H-M 'C 1 m 1'
_symmetry_Int_Tables_number 8
_cell_length_a 7.419
_cell_length_b 4.283
_cell_length_c 7.314
_cell_angle_alpha 90.00
_cell_angle_beta 109.83
_cell_angle_gamma 90.00
loop_
_symmetry_equiv_pos_as_xyz
'x,y,z'
'x,-y,z'
'x+1/2,y+1/2,z'
'x+1/2,-y+1/2,z'
loop_
_atom_site_label
_atom_site_type_symbol
_atom_site_fract_x
_atom_site_fract_y
_atom_site_fract_z
Li1 Li 0.000 0.000 0.000
Cu1 Cu 0.488 0.000 0.465
I1 I 0.362 0.500 0.586
Br1 Br 0.366 0.000 0.097


# 4
# LiCuIBr2 (PBE, relaxed)
# DFT total energy = -9.5 eV per formula unit
# formation energy from raw total energies = 0.29 eV/atom
data_LiCuIBr2
_symmetry_space_group_name_H-M 'P 4/m m m'
_symmetry_Int_Tables_number 123
_symmetry_space_group_name_Hall '-P 4 2'
_cell_length_a 6.190
_cell_length_b 6.190
_cell_length_c 5.016
_cell_angle_alpha 90.00
_cell_angle_beta 90.00
_cell_angle_gamma 90.00
loop_
_atom_site_label
_atom_site_type_symbol
_atom_site_fract_x
_atom_site_fract_y
_atom_site_fract_z
Li1 Li 0.000 0.000 0.000
Cu1 Cu 0.500 0.500 0.000
I1 I 0.000 0.000 0.500
Br1 Br 0.000 0.500 0.500


# 5
# CuIBrN2 (PBE, relaxed)
# DFT total energy = -14.2 eV per formula unit
# formation energy from raw total energies = 1.95 eV/atom
data_CuIBrN2
_symmetry_space_group_name_H-M 'P 4/m m m'
_symmetry_Int_Tables_number 123
_symmetry_space_group_name_Hall '-P 4 2'
_cell_length_a 3.880
_cell_length_b 3.880
_cell_length_c 7.992
_cell_angle_alpha 90.00
_cell_angle_beta 90.00
_cell_angle_gamma 90.00
loop_
_atom_site_label
_atom_site_type_symbol
_atom_site_fract_x
_atom_site_fract_y
_atom_site_fract_z
Cu1 Cu 0.000 0.000 0.000
I1 I 0.500 0.500 0.000
Br1 Br 0.500 0.500 0.500
N1 N 0.000 0.500 0.500


# 6
# CuIBrN2 (PBE, relaxed)
# DFT total energy = -15.0 eV per formula unit
# formation energy from raw total energies = 1.79 eV/atom
data_CuIBrN2
_symmetry_space_group_name_H-M 'P 4/m m m'
_symmetry_Int_Tables_number 123
_symmetry_space_group_name_Hall '-P 4 2'
_cell_length_a 3.915
_cell_length_b 3.915
_cell_length_c 7.584
_cell_angle_alpha 90.00
_cell_angle_beta 90.00
_cell_angle_gamma 90.00
loop_
_atom_site_label
_atom_site_type_symbol
_atom_site_fract_x
_atom_site_fract_y
_atom_site_fract_z
Cu1 Cu 0.000 0.000 0.000
I1 I 0.000 0.000 0.500
Br1 Br 0.500 0.500 0.500
N1 N 0.000 0.500 0.000


# 7
# NaCuI2Br (PBE, relaxed)
# DFT total energy = -12.6 eV per formula unit
# formation energy from raw total energies = -0.48 eV/atom
data_NaCuI2Br
_symmetry_space_group_name_H-M 'P 4/m m m'
_symmetry_Int_Tables_number 123
_symmetry_space_group_name_Hall '-P 4 2'
_cell_length_a 5.577
_cell_length_b 5.577
_cell_length_c 5.048
_cell_angle_alpha 90.00
_cell_angle_beta 90.00
_cell_angle_gamma 90.00
loop_
_atom_site_label
_atom_site_type_symbol
_atom_site_fract_x
_atom_site_fract_y
_atom_site_fract_z
Na1 Na 0.000 0.000 0.000
Cu1 Cu 0.500 0.500 0.500
I1 I 0.000 0.500 0.500
Br1 Br 0.500 0.500 0.000


# 8
# NaCuIBr2 (PBE, relaxed)
# DFT total energy = -13.2 eV per formula unit
# formation energy from raw total energies = -0.58 eV/atom
data_NaCuIBr2
_symmetry_space_group_name_H-M 'P 4/m m m'
_symmetry_Int_Tables_number 123
_symmetry_space_group_name_Hall '-P 4 2'
_cell_length_a 5.082
_cell_length_b 5.082
_cell_length_c 5.598
_cell_angle_alpha 90.00
_cell_angle_beta 90.00
_cell_angle_gamma 90.00
loop_
_atom_site_label
_atom_site_type_symbol
_atom_site_fract_x
_atom_site_fract_y
_atom_site_fract_z
Na1 Na 0.000 0.000 0.000
Cu1 Cu 0.500 0.500 0.500
I1 I 0.500 0.500 0.000
Br1 Br 0.000 0.500 0.500


# 9
# NpCu2I2Br6 (PBE, relaxed)
# DFT total energy = -41.0 eV per formula unit
# formation energy from raw total energies = -0.62 eV/atom
data_NpCu2I2Br6
_symmetry_space_group_name_H-M 'P -3'
_symmetry_Int_Tables_number 147
_cell_length_a 6.7914
_cell_length_b 6.7914
_cell_length_c 10.4077
_cell_angle_alpha 90.00
_cell_angle_beta 90.00
_cell_angle_gamma 120.00
loop_
_symmetry_equiv_pos_as_xyz
'x,y,z'
'-x,-y,-z'
'-y,x-y,z'
'y,-x+y,-z'
'-x+y,-x,z'
'x-y,x,-z'
loop_
_atom_site_label
_atom_site_type_symbol
_atom_site_fract_x
_atom_site_fract_y
_atom_site_fract_z
Np1 Np 0.0000 0.0000 0.0000
Cu1 Cu 0.3333 0.6667 0.7482
I1 I 0.3333 0.6667 0.5111
Br1 Br 0.0034 0.6755 0.8442


# 10
# CuI2BrO (PBE, relaxed)
# DFT total energy = -10.1 eV per formula unit
# formation energy from raw total energies = 0.74 eV/atom
data_CuI2BrO
_symmetry_space_group_name_H-M 'P 4/m m m'
_symmetry_Int_Tables_number 123
_symmetry_space_group_name_Hall '-P 4 2'
_cell_length_a 5.814
_cell_length_b 5.814
_cell_length_c 3.979
_cell_angle_alpha 90.00
_cell_angle_beta 90.00
_cell_angle_gamma 90.00
loop_
_atom_site_label
_atom_site_type_symbol
_atom_site_fract_x
_atom_site_fract_y
_atom_site_fract_z
Cu1 Cu 0.000 0.000 0.000
I1 I 0.000 0.500 0.500
Br1 Br 0.500 0.500 0.500
O1 O 0.500 0.500 0.000


# 11
# Cu4I2BrO (PBE, relaxed)
# DFT total energy = -27.8 eV per formula unit
# formation energy from raw total energies = -0.21 eV/atom
data_Cu4I2BrO
_symmetry_space_group_name_H-M 'P m n 21'
_symmetry_Int_Tables_number 31
_cell_length_a 7.923
_cell_length_b 6.766
_cell_length_c 6.516
_cell_angle_alpha 90.00
_cell_angle_beta 90.00
_cell_angle_gamma 90.00
loop_
_symmetry_equiv_pos_as_xyz
'x,y,z'
'-x+1/2,-y,z+1/2'
'-x,y,z'
'x+1/2,-y,z+1/2'
loop_
_atom_site_label
_atom_site_type_symbol
_atom_site_fract_x
_atom_site_fract_y
_atom_site_fract_z
Cu1 Cu 0.000 0.094 0.000
Cu2 Cu 0.000 0.844 0.410
Cu3 Cu 0.199 0.700 0.010
I1 I 0.250 0.327 0.115
Br1 Br 0.000 0.157 0.617
O1 O 0.000 0.830 0.115


# 12
# Cu4IBr2O (PBE, relaxed)
# DFT total energy = -28.2 eV per formula unit
# formation energy from raw total energies = -0.25 eV/atom
data_Cu4IBr2O
_symmetry_space_group_name_H-M 'P m n 21'
_symmetry_Int_Tables_number 31
_cell_length_a 7.698
_cell_length_b 6.730
_cell_length_c 6.416
_cell_angle_alpha 90.00
_cell_angle_beta 90.00
_cell_angle_gamma 90.00
loop_
_symmetry_equiv_pos_as_xyz
'x,y,z'
'-x+1/2,-y,z+1/2'
'-x,y,z'
'x+1/2,-y,z+1/2'
loop_
_atom_site_label
_atom_site_type_symbol
_atom_site_fract_x
_atom_site_fract_y
_atom_site_fract_z
Cu1 Cu 0.000 0.092 0.000
Cu2 Cu 0.000 0.833 0.388
Cu3 Cu 0.199 0.683 0.976
I1 I 0.000 0.161 0.596
Br1 Br 0.249 0.330 0.091
O1 O 0.000 0.819 0.090